# 1
This record from Alexandria describes a relaxed ThTl3Te4 crystal. The functional is PBE.

Cell lengths 7.8471, 8.3175, 9.5214 Å; angles 90.00, 90.00, 107.23 degrees
Closest atoms and distances in Å follow each position.
Fractional positions:
Tl1 0.7500 0.0000 0.3819  6 Te 3.25-3.45
Tl2 0.2500 0.0000 0.6181  6 Te 3.25-3.45
Tl3 0.7500 0.5000 0.6221  6 Te 3.27-3.63
Tl4 0.7500 0.5000 0.1282  6 Te 3.39-3.41
Tl5 0.2500 0.5000 0.3779  6 Te 3.27-3.63
Tl6 0.2500 0.5000 0.8718  6 Te 3.39-3.41
Te1 0.9849 0.2343 0.6376  1 Th 3.17, 5 Tl 3.25-3.55
Te2 0.4954 0.2239 0.8929  2 Th 3.11-3.17, 3 Tl 3.40-3.45
Te3 0.4849 0.2343 0.3624  1 Th 3.17, 5 Tl 3.25-3.55
Te4 0.9954 0.2239 0.1071  2 Th 3.11-3.17, 3 Tl 3.40-3.45
Te5 0.0046 0.7761 0.8929  2 Th 3.11-3.17, 3 Tl 3.40-3.45
Te6 0.5151 0.7657 0.6376  1 Th 3.17, 5 Tl 3.25-3.55
Te7 0.5046 0.7761 0.1071  2 Th 3.11-3.17, 3 Tl 3.40-3.45
Te8 0.0151 0.7657 0.3624  1 Th 3.17, 5 Tl 3.25-3.55
Th1 0.7500 0.0000 0.8727  6 Te 3.11-3.17
Th2 0.2500 0.0000 0.1273  6 Te 3.11-3.17

Raw formation energy, eV/atom: -0.620
Volume, Å³ per atom: 37.10
Space-group type: No. 13



# 2
This record from Alexandria describes a relaxed TiNb2Fe3 crystal. The functional is PBE.

Cell lengths 4.2996, 6.7913, 6.0745 Å; angles 90.00, 90.00, 71.55 degrees
Closest atoms and distances in Å follow each position.
Fractional positions:
Ti1 0.3316 0.3367 0.0000  8 Fe 2.58-2.63
Ti2 0.6684 0.6633 0.0000  8 Fe 2.58-2.63
Nb1 0.0000 0.0000 0.0000  8 Fe 2.61-2.63
Nb2 0.0000 0.0000 0.5000  8 Fe 2.65-2.67
Nb3 0.3335 0.3330 0.5000  8 Fe 2.64-2.65
Nb4 0.6665 0.6670 0.5000  8 Fe 2.64-2.65
Fe1 0.8318 0.3365 0.7559  3 Ti 2.58-2.61, 5 Nb 2.63-2.67
Fe2 0.5000 0.0000 0.2444  6 Nb 2.61-2.65, 2 Ti 2.63
Fe3 0.1682 0.6635 0.2441  3 Ti 2.58-2.61, 5 Nb 2.63-2.67
Fe4 0.8317 0.3365 0.2441  3 Ti 2.58-2.61, 5 Nb 2.63-2.67
Fe5 0.1683 0.6635 0.7559  3 Ti 2.58-2.61, 5 Nb 2.63-2.67
Fe6 0.5000 0.0000 0.7556  6 Nb 2.61-2.65, 2 Ti 2.63

Formation energy, eV per formula unit: -0.92
Volume, Å³ per atom: 14.02
Space-group type: No. 65



# 3
This record from Alexandria describes a relaxed TbZn2Ru crystal. The functional is PBE.

Cell lengths 4.6169, 4.6169, 4.6169 Å; angles 60.00, 60.00, 60.00 degrees
Closest atoms and distances in Å follow each position.
Fractional positions:
Ru1 0.5000 0.5000 0.5000  8 Zn 2.83
Zn1 0.2500 0.2500 0.2500  4 Ru 2.83, 4 Tb 2.83
Zn2 0.7500 0.7500 0.7500  4 Tb 2.83, 4 Ru 2.83
Tb1 0.0000 0.0000 0.0000  8 Zn 2.83

Formation energy, eV per formula unit: -0.54
Volume, Å³ per atom: 17.40
Space-group type: No. 225



# 4
This record from Alexandria describes a relaxed RuSe crystal. The functional is PBE.

Cell lengths 6.5179, 6.5179, 6.5179 Å; angles 34.69, 34.69, 34.69 degrees
Closest atoms and distances in Å follow each position.
Fractional positions:
Ru1 0.3560 0.3560 0.3560  3 Ru 2.39, 3 Se 2.63
Ru2 0.6440 0.6440 0.6440  3 Ru 2.39, 3 Se 2.63
Se1 0.0973 0.0973 0.0973  3 Ru 2.63
Se2 0.9027 0.9027 0.9027  3 Ru 2.63

Raw formation energy, eV/atom: 0.257
Volume, Å³ per atom: 20.01
Space-group type: No. 166